Entry from the Alexandria database: an optimized crystal structure of NiAs2W (PBE).

## Properties
The value obtained for the total energy is -0.504 Ry/atom. The crystal system is trigonal.

Geometry as POSCAR:
```
NiAs2W
1.0
1.5338 0.8855 7.5261
-1.5338 0.8855 7.5261
0.0000 -1.7710 7.5261
Ni As W
1 2 1
Direct
0.0000 0.0000 0.0000
0.2530 0.2530 0.2530
0.7470 0.7470 0.7470
0.5000 0.5000 0.5000
```